# 1
Material: SrPaPdN3
Method: DFT, PBE
State: optimized geometry

Cell lengths 7.036, 3.603, 8.644 Å; angles 90.00, 96.27, 90.00 degrees
Space group P2_1/m (No. 11)
Symmetry-distinct sites (fractional):
1 Sr 0.149 0.250 0.184 (multiplicity 2)
2 Pa 0.345 0.750 0.855 (multiplicity 2)
3 Pd 0.130 0.250 0.556 (multiplicity 2)
4 N 0.154 0.250 0.884 (multiplicity 2)
5 N 0.218 0.750 0.592 (multiplicity 2)
6 N 0.434 0.750 0.119 (multiplicity 2)

E_tot   -7.63 eV per atom
Density of states at the Fermi level   0.18 states/eV per cell

# 2
Material: Ba2CuHF6
Method: DFT, PBE
State: optimized geometry

Cell lengths 5.050, 6.345, 6.657 Å; angles 102.41, 107.45, 111.78 degrees
Space group P-1 (No. 2)
Symmetry-distinct sites (fractional):
1 Ba 0.045 0.228 0.299 (multiplicity 2)
2 Cu 0.500 0.500 0.000 (multiplicity 1)
3 H 0.500 0.000 0.500 (multiplicity 1)
4 F 0.105 0.240 0.920 (multiplicity 2)
5 F 0.359 0.619 0.657 (multiplicity 2)
6 F 0.367 0.074 0.583 (multiplicity 2)

E_tot   -5.04 eV per atom
Density of states at the Fermi level   0.00 states/eV per cell

# 3
Material: Hf3CrCo8
Method: DFT, PBE
State: optimized geometry

Cell lengths 4.8239, 4.8239, 23.5668 Å; angles 90.00, 90.00, 120.00 degrees
Space group R3m (No. 160, hexagonal axes)
Symmetry-distinct sites (fractional):
1 Hf 0.0000 0.0000 0.0000 (multiplicity 3)
2 Hf 0.0000 0.0000 0.1297 (multiplicity 3)
3 Hf 0.0000 0.0000 0.5129 (multiplicity 3)
4 Cr 0.0000 0.0000 0.6338 (multiplicity 3)
5 Co 0.0000 0.0000 0.3178 (multiplicity 3)
6 Co 0.0000 0.0000 0.8183 (multiplicity 3)
7 Co 0.1673 0.3346 0.4012 (multiplicity 9)
8 Co 0.1682 0.3364 0.9016 (multiplicity 9)

Formation enthalpy at 0 K   -252 meV/atom
Density of states at the Fermi level   51.65 states/eV per cell